# Sr3Br, optimized geometry, DFT GGA-PBEsol
data_Sr3Br
_cell_length_a 4.133
_cell_length_b 4.133
_cell_length_c 11.624
_cell_angle_alpha 79.76
_cell_angle_beta 79.76
_cell_angle_gamma 60.00
_space_group_name_H-M_alt 'P 1'
_space_group_IT_number 1
_space_group_name_Hall 'P 1'
loop_
_atom_site_label
_atom_site_type_symbol
_atom_site_fract_x
_atom_site_fract_y
_atom_site_fract_z
Sr1 Sr 0.734 0.734 0.799
Sr2 Sr 0.500 0.500 0.500
Sr3 Sr 0.266 0.266 0.201
Br1 Br 0.000 0.000 0.000
# Calculated total energy, eV/f.u.: -10.34
# Excess energy over the best structure of this formula in the dataset, kJ/mol of formula units: 0.0
# Symmetry: No. 166